[1]
CsIrSe2 | PBE | optimized geometry

Cell: 8.8044 8.8044 3.6820 Å, 90.00 90.00 118.93°
Sites, in units of the cell vectors:
Cs 0.1780 0.8220 0.7500
Cs 0.8220 0.1780 0.2500
Ir 0.4311 0.5689 0.2500
Ir 0.5689 0.4311 0.7500
Se 0.2168 0.4359 0.7500
Se 0.4359 0.2168 0.2500
Se 0.5641 0.7832 0.7500
Se 0.7832 0.5641 0.2500

Raw formation energy in eV per formula unit: -1.52
Crystal system: orthorhombic

***

[2]
Cs3IrSe3 | PBE | optimized geometry

Cell: 10.1461 7.3027 10.1466 Å, 90.00 119.87 90.00°
Sites, in units of the cell vectors:
Cs 0.1047 0.2500 0.3864
Cs 0.2168 0.7500 0.1040
Cs 0.3865 0.7500 0.7824
Cs 0.6135 0.2500 0.2176
Cs 0.7832 0.2500 0.8960
Cs 0.8953 0.7500 0.6136
Ir 0.1675 0.2500 0.8330
Ir 0.8325 0.7500 0.1670
Se 0.0791 0.7500 0.3728
Se 0.2075 0.2500 0.0797
Se 0.3737 0.2500 0.7920
Se 0.6263 0.7500 0.2080
Se 0.7925 0.7500 0.9203
Se 0.9209 0.2500 0.6272

Raw formation energy in eV per formula unit: -4.63
Crystal system: monoclinic

***

[3]
Cs2U2IrSe6 | PBE | optimized geometry

Cell: 6.7869 6.7869 9.1086 Å, 98.16 98.16 118.84°
Sites, in units of the cell vectors:
Cs 0.1720 0.8280 0.0000
Cs 0.8280 0.1720 0.0000
U 0.3261 0.6739 0.5000
U 0.6739 0.3261 0.5000
Ir 0.0000 0.0000 0.5000
Se 0.0764 0.3762 0.6849
Se 0.2401 0.2401 0.3262
Se 0.3762 0.0764 0.6849
Se 0.6238 0.9236 0.3151
Se 0.7599 0.7599 0.6738
Se 0.9236 0.6238 0.3151

Raw formation energy in eV per formula unit: -10.37
Crystal system: monoclinic

***

[4]
CsZnIrSe2 | PBE | optimized geometry

Cell: 6.2073 6.2073 6.5217 Å, 90.00 90.00 90.00°
Sites, in units of the cell vectors:
Cs 0.0000 0.0000 0.0000
Zn 0.0000 0.0000 0.5000
Ir 0.5000 0.5000 0.5000
Se 0.0000 0.5000 0.0000
Se 0.5000 0.0000 0.0000

Raw formation energy in eV per formula unit: 9.87
Crystal system: tetragonal

***

Question: Which formula does entry 2 have?
Answer: Cs3IrSe3

***

Question: Among the records above, which one has the highest raw formation energy?
Answer: CsZnIrSe2

***

Question: The highest raw formation energy belongs to which entry?
Answer: CsZnIrSe2